(a)
First-principles (GGA-PBE) data for crystalline AlTe3C at its relaxed geometry, as listed in Alexandria.

Summary:
* space group: Pm-3m
* D(E_F): 4.989 states/eV per cell

Lattice parameters (Å, degrees): 5.296 5.296 5.296 90.00 90.00 90.00
Atoms (fractional coordinates):
Al1 0.000 0.000 0.000
Te1 0.000 0.000 0.500
Te2 0.000 0.500 0.000
Te3 0.500 0.000 0.000
C1 0.500 0.500 0.500

(b)
First-principles (GGA-PBE) data for crystalline AlTe3C at its relaxed geometry, as listed in Alexandria.

Summary:
* space group: Pm-3m
* D(E_F): 3.358 states/eV per cell

Lattice parameters (Å, degrees): 4.809 4.809 4.809 90.00 90.00 90.00
Atoms (fractional coordinates):
Al1 0.000 0.000 0.000
Te1 0.000 0.500 0.500
Te2 0.500 0.000 0.500
Te3 0.500 0.500 0.000
C1 0.500 0.500 0.500

Which of them is least stable? Easy: (a).

(a)
First-principles (GGA-PBE) data for crystalline AlTeC2 at its relaxed geometry, as listed in Alexandria.

Summary:
* space group: I-42d
* D(E_F): 5.460 states/eV per cell

Lattice parameters (Å, degrees): 6.067 6.067 6.067 132.41 132.41 69.58
Atoms (fractional coordinates):
Al1 0.000 0.000 0.000
Al2 0.750 0.250 0.500
Te1 0.250 0.750 0.500
Te2 0.500 0.500 0.000
C1 0.090 0.625 0.965
C2 0.375 0.340 0.465
C3 0.660 0.125 0.035
C4 0.875 0.910 0.535

(b)
First-principles (GGA-PBE) data for crystalline AlTeC2 at its relaxed geometry, as listed in Alexandria.

Summary:
* space group: Fm-3m
* D(E_F): 2.765 states/eV per cell

Lattice parameters (Å, degrees): 4.156 4.156 4.156 60.00 60.00 60.00
Atoms (fractional coordinates):
Al1 0.000 0.000 0.000
Te1 0.500 0.500 0.500
C1 0.250 0.250 0.250
C2 0.750 0.750 0.750

Which of them is least stable? Easy: (b).

(a)
First-principles (GGA-PBE) data for crystalline AlTeC3 at its relaxed geometry, as listed in Alexandria.

Summary:
* space group: Pm-3m
* D(E_F): 3.376 states/eV per cell

Lattice parameters (Å, degrees): 4.039 4.039 4.039 90.00 90.00 90.00
Atoms (fractional coordinates):
Al1 0.000 0.000 0.000
Te1 0.500 0.500 0.500
C1 0.000 0.000 0.500
C2 0.000 0.500 0.000
C3 0.500 0.000 0.000

(b)
First-principles (GGA-PBE) data for crystalline AlTeC3 at its relaxed geometry, as listed in Alexandria.

Summary:
* space group: Pm-3m
* D(E_F): 5.402 states/eV per cell

Lattice parameters (Å, degrees): 4.169 4.169 4.169 90.00 90.00 90.00
Atoms (fractional coordinates):
Al1 0.000 0.000 0.000
Te1 0.500 0.500 0.500
C1 0.000 0.500 0.500
C2 0.500 0.000 0.500
C3 0.500 0.500 0.000

Which of them is least stable? Easy: (b).

(a)
First-principles (GGA-PBE) data for crystalline Ti2AlC at its relaxed geometry, as listed in Alexandria.

Summary:
* space group: I-42d
* D(E_F): 8.129 states/eV per cell

Lattice parameters (Å, degrees): 5.327 5.327 5.327 106.37 106.37 115.86
Atoms (fractional coordinates):
Ti1 0.054 0.625 0.929
Ti2 0.375 0.304 0.429
Ti3 0.696 0.125 0.071
Ti4 0.875 0.946 0.571
Al1 0.250 0.750 0.500
Al2 0.500 0.500 0.000
C1 0.000 0.000 0.000
C2 0.750 0.250 0.500

(b)
First-principles (GGA-PBE) data for crystalline Ti2AlC at its relaxed geometry, as listed in Alexandria.

Summary:
* space group: P6_3/mmc
* D(E_F): 2.578 states/eV per cell

Lattice parameters (Å, degrees): 3.068 3.068 13.750 90.00 90.00 120.00
Atoms (fractional coordinates):
Ti1 0.333 0.667 0.083
Ti2 0.333 0.667 0.417
Ti3 0.667 0.333 0.583
Ti4 0.667 0.333 0.917
Al1 0.333 0.667 0.750
Al2 0.667 0.333 0.250
C1 0.000 0.000 0.000
C2 0.000 0.000 0.500

(c)
First-principles (GGA-PBE) data for crystalline Ti2AlC at its relaxed geometry, as listed in Alexandria.

Summary:
* space group: Fm-3m
* D(E_F): 4.882 states/eV per cell

Lattice parameters (Å, degrees): 4.244 4.244 4.244 60.00 60.00 60.00
Atoms (fractional coordinates):
Ti1 0.250 0.250 0.250
Ti2 0.750 0.750 0.750
Al1 0.000 0.000 0.000
C1 0.500 0.500 0.500

Which of them is least stable? Easy: (c).